[1]
VASP calculation (PBE) on crystalline DyNbMo at its relaxed geometry.

The formation energy from the elements is 0.8425 eV per atom. For the magnetization, the calculation gives 0.019 μB per formula unit. Its energy is -92.06 eV per cell. The energy above the most stable polymorph in this dataset comes out at 0 meV per atom. The calculation puts the volume at 272.9 Å³ per cell.

```
data_DyNbMo
_symmetry_space_group_name_H-M 'F -4 3 m'
_symmetry_Int_Tables_number 216
_symmetry_space_group_name_Hall 'F -4 2 3'
_cell_length_a 6.4861
_cell_length_b 6.4861
_cell_length_c 6.4861
_cell_angle_alpha 90.00
_cell_angle_beta 90.00
_cell_angle_gamma 90.00
loop_
_atom_site_label
_atom_site_type_symbol
_atom_site_fract_x
_atom_site_fract_y
_atom_site_fract_z
_atom_site_occupancy
Dy1 Dy 0.0000 0.0000 0.0000 1
Nb1 Nb 0.2500 0.2500 0.2500 1
Mo1 Mo 0.0000 0.0000 0.5000 1
```

=====

[2]
VASP calculation (PBE) on crystalline DyNbMo at its relaxed geometry.

The formation energy from the elements is 1.6049 eV per atom. For the magnetization, the calculation gives 0.012 μB per formula unit. Its energy is -82.92 eV per cell. The energy above the most stable polymorph in this dataset comes out at 762 meV per atom. The calculation puts the volume at 271.5 Å³ per cell.

```
data_DyNbMo
_symmetry_space_group_name_H-M 'F -4 3 m'
_symmetry_Int_Tables_number 216
_symmetry_space_group_name_Hall 'F -4 2 3'
_cell_length_a 6.4752
_cell_length_b 6.4752
_cell_length_c 6.4752
_cell_angle_alpha 90.00
_cell_angle_beta 90.00
_cell_angle_gamma 90.00
loop_
_atom_site_label
_atom_site_type_symbol
_atom_site_fract_x
_atom_site_fract_y
_atom_site_fract_z
_atom_site_occupancy
Dy1 Dy 0.0000 0.0000 0.0000 1
Nb1 Nb 0.2500 0.2500 0.2500 1
Mo1 Mo 0.2500 0.2500 0.7500 1
```

=====

[3]
VASP calculation (PBE) on crystalline NdDyMo at its relaxed geometry.

The formation energy from the elements is 1.2218 eV per atom. For the magnetization, the calculation gives 1.775 μB per formula unit. Its energy is -66.19 eV per cell. The energy above the most stable polymorph in this dataset comes out at 0 meV per atom. The calculation puts the volume at 343.4 Å³ per cell.

```
data_NdDyMo
_symmetry_space_group_name_H-M 'F -4 3 m'
_symmetry_Int_Tables_number 216
_symmetry_space_group_name_Hall 'F -4 2 3'
_cell_length_a 7.0025
_cell_length_b 7.0025
_cell_length_c 7.0025
_cell_angle_alpha 90.00
_cell_angle_beta 90.00
_cell_angle_gamma 90.00
loop_
_atom_site_label
_atom_site_type_symbol
_atom_site_fract_x
_atom_site_fract_y
_atom_site_fract_z
_atom_site_occupancy
Nd1 Nd 0.0000 0.0000 0.0000 1
Dy1 Dy 0.2500 0.2500 0.7500 1
Mo1 Mo 0.0000 0.0000 0.5000 1
```

=====

[4]
VASP calculation (PBE) on crystalline DyNiMo at its relaxed geometry.

The formation energy from the elements is 0.4955 eV per atom. For the magnetization, the calculation gives 0.046 μB per formula unit. Its energy is -78.12 eV per cell. The calculation puts the volume at 234.7 Å³ per cell.

```
data_DyNiMo
_symmetry_space_group_name_H-M 'F -4 3 m'
_symmetry_Int_Tables_number 216
_symmetry_space_group_name_Hall 'F -4 2 3'
_cell_length_a 6.1687
_cell_length_b 6.1687
_cell_length_c 6.1687
_cell_angle_alpha 90.00
_cell_angle_beta 90.00
_cell_angle_gamma 90.00
loop_
_atom_site_label
_atom_site_type_symbol
_atom_site_fract_x
_atom_site_fract_y
_atom_site_fract_z
_atom_site_occupancy
Dy1 Dy 0.0000 0.0000 0.0000 1
Ni1 Ni 0.2500 0.2500 0.2500 1
Mo1 Mo 0.0000 0.0000 0.5000 1
```

=====

[5]
VASP calculation (PBE) on crystalline DyMoOs at its relaxed geometry.

The formation energy from the elements is 1.5861 eV per atom. For the magnetization, the calculation gives 2.035 μB per formula unit. Its energy is -87.67 eV per cell. The calculation puts the volume at 257.9 Å³ per cell.

```
data_DyMoOs
_symmetry_space_group_name_H-M 'F -4 3 m'
_symmetry_Int_Tables_number 216
_symmetry_space_group_name_Hall 'F -4 2 3'
_cell_length_a 6.3651
_cell_length_b 6.3651
_cell_length_c 6.3651
_cell_angle_alpha 90.00
_cell_angle_beta 90.00
_cell_angle_gamma 90.00
loop_
_atom_site_label
_atom_site_type_symbol
_atom_site_fract_x
_atom_site_fract_y
_atom_site_fract_z
_atom_site_occupancy
Dy1 Dy 0.0000 0.0000 0.0000 1
Mo1 Mo 0.2500 0.2500 0.7500 1
Os1 Os 0.2500 0.2500 0.2500 1
```

=====

[6]
VASP calculation (PBE) on crystalline DyMoPb at its relaxed geometry.

For the magnetization, the calculation gives 0.411 μB per formula unit. Its energy is -68.77 eV per cell. The calculation puts the volume at 315.0 Å³ per cell.

```
data_DyMoPb
_symmetry_space_group_name_H-M 'F -4 3 m'
_symmetry_Int_Tables_number 216
_symmetry_space_group_name_Hall 'F -4 2 3'
_cell_length_a 6.8041
_cell_length_b 6.8041
_cell_length_c 6.8041
_cell_angle_alpha 90.00
_cell_angle_beta 90.00
_cell_angle_gamma 90.00
loop_
_atom_site_label
_atom_site_type_symbol
_atom_site_fract_x
_atom_site_fract_y
_atom_site_fract_z
_atom_site_occupancy
Dy1 Dy 0.0000 0.0000 0.0000 1
Mo1 Mo 0.0000 0.0000 0.5000 1
Pb1 Pb 0.2500 0.2500 0.2500 1
```

=====

[7]
VASP calculation (PBE) on crystalline PrDyMo at its relaxed geometry.

The formation energy from the elements is 1.2219 eV per atom. For the magnetization, the calculation gives 1.772 μB per formula unit. Its energy is -66.23 eV per cell. The calculation puts the volume at 347.0 Å³ per cell.

```
data_PrDyMo
_symmetry_space_group_name_H-M 'F -4 3 m'
_symmetry_Int_Tables_number 216
_symmetry_space_group_name_Hall 'F -4 2 3'
_cell_length_a 7.0270
_cell_length_b 7.0270
_cell_length_c 7.0270
_cell_angle_alpha 90.00
_cell_angle_beta 90.00
_cell_angle_gamma 90.00
loop_
_atom_site_label
_atom_site_type_symbol
_atom_site_fract_x
_atom_site_fract_y
_atom_site_fract_z
_atom_site_occupancy
Pr1 Pr 0.0000 0.0000 0.0000 1
Dy1 Dy 0.2500 0.2500 0.7500 1
Mo1 Mo 0.0000 0.0000 0.5000 1
```

=====

[8]
VASP calculation (PBE) on crystalline DyMoPt at its relaxed geometry.

The formation energy from the elements is 0.1086 eV per atom. For the magnetization, the calculation gives 0.921 μB per formula unit. Its energy is -84.72 eV per cell. The calculation puts the volume at 268.0 Å³ per cell.

```
data_DyMoPt
_symmetry_space_group_name_H-M 'F -4 3 m'
_symmetry_Int_Tables_number 216
_symmetry_space_group_name_Hall 'F -4 2 3'
_cell_length_a 6.4472
_cell_length_b 6.4472
_cell_length_c 6.4472
_cell_angle_alpha 90.00
_cell_angle_beta 90.00
_cell_angle_gamma 90.00
loop_
_atom_site_label
_atom_site_type_symbol
_atom_site_fract_x
_atom_site_fract_y
_atom_site_fract_z
_atom_site_occupancy
Dy1 Dy 0.0000 0.0000 0.0000 1
Mo1 Mo 0.0000 0.0000 0.5000 1
Pt1 Pt 0.2500 0.2500 0.2500 1
```

=====

[9]
VASP calculation (PBE) on crystalline DyPuMo at its relaxed geometry.

The formation energy from the elements is 0.5760 eV per atom. For the magnetization, the calculation gives 4.581 μB per formula unit. Its energy is -111.39 eV per cell. The energy above the most stable polymorph in this dataset comes out at 0 meV per atom. The calculation puts the volume at 312.2 Å³ per cell.

```
data_DyPuMo
_symmetry_space_group_name_H-M 'F -4 3 m'
_symmetry_Int_Tables_number 216
_symmetry_space_group_name_Hall 'F -4 2 3'
_cell_length_a 6.7837
_cell_length_b 6.7837
_cell_length_c 6.7837
_cell_angle_alpha 90.00
_cell_angle_beta 90.00
_cell_angle_gamma 90.00
loop_
_atom_site_label
_atom_site_type_symbol
_atom_site_fract_x
_atom_site_fract_y
_atom_site_fract_z
_atom_site_occupancy
Dy1 Dy 0.0000 0.0000 0.0000 1
Pu1 Pu 0.0000 0.0000 0.5000 1
Mo1 Mo 0.2500 0.2500 0.2500 1
```

=====

[10]
VASP calculation (PBE) on crystalline RbDyMo at its relaxed geometry.

For the magnetization, the calculation gives 3.028 μB per formula unit. Its energy is -44.40 eV per cell. The calculation puts the volume at 430.0 Å³ per cell.

```
data_RbDyMo
_symmetry_space_group_name_H-M 'F -4 3 m'
_symmetry_Int_Tables_number 216
_symmetry_space_group_name_Hall 'F -4 2 3'
_cell_length_a 7.5479
_cell_length_b 7.5479
_cell_length_c 7.5479
_cell_angle_alpha 90.00
_cell_angle_beta 90.00
_cell_angle_gamma 90.00
loop_
_atom_site_label
_atom_site_type_symbol
_atom_site_fract_x
_atom_site_fract_y
_atom_site_fract_z
_atom_site_occupancy
Rb1 Rb 0.0000 0.0000 0.0000 1
Dy1 Dy 0.0000 0.0000 0.5000 1
Mo1 Mo 0.2500 0.2500 0.7500 1
```

=====

[11]
VASP calculation (PBE) on crystalline DyScMo at its relaxed geometry.

The formation energy from the elements is 1.0921 eV per atom. For the magnetization, the calculation gives 1.614 μB per formula unit. Its energy is -74.01 eV per cell. The calculation puts the volume at 296.8 Å³ per cell.

```
data_DyScMo
_symmetry_space_group_name_H-M 'F -4 3 m'
_symmetry_Int_Tables_number 216
_symmetry_space_group_name_Hall 'F -4 2 3'
_cell_length_a 6.6708
_cell_length_b 6.6708
_cell_length_c 6.6708
_cell_angle_alpha 90.00
_cell_angle_beta 90.00
_cell_angle_gamma 90.00
loop_
_atom_site_label
_atom_site_type_symbol
_atom_site_fract_x
_atom_site_fract_y
_atom_site_fract_z
_atom_site_occupancy
Dy1 Dy 0.0000 0.0000 0.0000 1
Sc1 Sc 0.2500 0.2500 0.2500 1
Mo1 Mo 0.0000 0.0000 0.5000 1
```

=====

[12]
VASP calculation (PBE) on crystalline Dy2Si3Mo2 at its relaxed geometry.

For the magnetization, the calculation gives 0.011 μB per formula unit. Its energy is -97.64 eV per cell. The calculation puts the volume at 277.9 Å³ per cell.

```
data_Dy2Si3Mo2
_symmetry_space_group_name_H-M 'C 1 2/m 1'
_symmetry_Int_Tables_number 12
_symmetry_space_group_name_Hall '-C 2y'
_cell_length_a 12.1123
_cell_length_b 3.6430
_cell_length_c 6.9293
_cell_angle_alpha 90.00
_cell_angle_beta 114.65
_cell_angle_gamma 90.00
loop_
_atom_site_label
_atom_site_type_symbol
_atom_site_fract_x
_atom_site_fract_y
_atom_site_fract_z
_atom_site_occupancy
Dy1 Dy 0.1007 0.0000 0.3703 1
Si1 Si 0.0000 0.5000 0.0000 1
Si2 Si 0.2270 0.5000 0.2084 1
Mo1 Mo 0.1442 0.5000 0.8209 1
```

=====

[13]
VASP calculation (PBE) on crystalline DySiMo at its relaxed geometry.

For the magnetization, the calculation gives 0.219 μB per formula unit. Its energy is -83.00 eV per cell. The calculation puts the volume at 250.5 Å³ per cell.

```
data_DySiMo
_symmetry_space_group_name_H-M 'F -4 3 m'
_symmetry_Int_Tables_number 216
_symmetry_space_group_name_Hall 'F -4 2 3'
_cell_length_a 6.3038
_cell_length_b 6.3038
_cell_length_c 6.3038
_cell_angle_alpha 90.00
_cell_angle_beta 90.00
_cell_angle_gamma 90.00
loop_
_atom_site_label
_atom_site_type_symbol
_atom_site_fract_x
_atom_site_fract_y
_atom_site_fract_z
_atom_site_occupancy
Dy1 Dy 0.0000 0.0000 0.0000 1
Si1 Si 0.2500 0.2500 0.2500 1
Mo1 Mo 0.0000 0.0000 0.5000 1
```

=====

[14]
VASP calculation (PBE) on crystalline SmDyMo at its relaxed geometry.

The formation energy from the elements is 1.2245 eV per atom. For the magnetization, the calculation gives 1.800 μB per formula unit. Its energy is -65.95 eV per cell. The energy above the most stable polymorph in this dataset comes out at 0 meV per atom. The calculation puts the volume at 339.0 Å³ per cell.

```
data_SmDyMo
_symmetry_space_group_name_H-M 'F -4 3 m'
_symmetry_Int_Tables_number 216
_symmetry_space_group_name_Hall 'F -4 2 3'
_cell_length_a 6.9724
_cell_length_b 6.9724
_cell_length_c 6.9724
_cell_angle_alpha 90.00
_cell_angle_beta 90.00
_cell_angle_gamma 90.00
loop_
_atom_site_label
_atom_site_type_symbol
_atom_site_fract_x
_atom_site_fract_y
_atom_site_fract_z
_atom_site_occupancy
Sm1 Sm 0.0000 0.0000 0.0000 1
Dy1 Dy 0.2500 0.2500 0.7500 1
Mo1 Mo 0.0000 0.0000 0.5000 1
```